1.
{"formula": "Cd2Ge2Bi", "functional": "PBE", "state": "optimized geometry", "lattice_angstrom": [[-1.433, -1.147, 8.386], [-8.247, -1.723, -1.645], [0.720, -3.154, -0.308]], "species": ["Ge", "Ge", "Ge", "Ge", "Bi", "Bi", "Cd", "Cd", "Cd", "Cd"], "fractional_positions": [[0.324, 0.824, 0.000], [0.824, 0.676, 0.000], [0.676, 0.176, 0.000], [0.176, 0.324, 0.000], [0.000, 0.000, 0.000], [0.500, 0.500, 0.000], [0.125, 0.625, 0.500], [0.625, 0.875, 0.500], [0.875, 0.375, 0.500], [0.375, 0.125, 0.500]], "e_above_lowest_polymorph_ev_per_atom": 0.0000, "vol_a3_per_cell": 239.5, "m_tot_mub_per_fu": 0.0, "sg": "No. 127", "delta_e_f_mev_per_atom": 197, "e_tot_ev_per_atom": -2.7917}

***

2.
{"formula": "CdGe2Bi2", "functional": "PBE", "state": "optimized geometry", "lattice_angstrom": [[4.519, 0.000, 0.000], [0.000, 4.519, 0.000], [2.260, 2.260, 7.333]], "species": ["Ge", "Ge", "Bi", "Bi", "Cd"], "fractional_positions": [[0.750, 0.250, 0.500], [0.250, 0.750, 0.500], [0.380, 0.380, 0.240], [0.620, 0.620, 0.760], [0.000, 0.000, 0.000]], "e_above_lowest_polymorph_ev_per_atom": 0.0122, "vol_a3_per_cell": 149.8, "m_tot_mub_per_fu": 0.0, "sg": "No. 139", "delta_e_f_mev_per_atom": 247, "e_tot_ev_per_atom": -3.3355}

***

3.
{"formula": "Cd2Ge2Bi", "functional": "PBE", "state": "optimized geometry", "lattice_angstrom": [[4.149, 0.000, 0.000], [0.000, 4.149, 0.000], [2.074, 2.074, 7.065]], "species": ["Ge", "Ge", "Bi", "Cd", "Cd"], "fractional_positions": [[0.750, 0.250, 0.500], [0.250, 0.750, 0.500], [0.000, 0.000, 0.000], [0.397, 0.397, 0.207], [0.603, 0.603, 0.793]], "e_above_lowest_polymorph_ev_per_atom": 0.0460, "vol_a3_per_cell": 121.6, "m_tot_mub_per_fu": 0.0, "sg": "No. 139", "delta_e_f_mev_per_atom": 243, "e_tot_ev_per_atom": -2.7457}

***

4.
{"formula": "CdGeBi2", "functional": "PBE", "state": "optimized geometry", "lattice_angstrom": [[4.176, 0.000, 0.000], [2.088, 3.616, 0.000], [2.088, 1.205, 7.643]], "species": ["Cd", "Ge", "Bi", "Bi"], "fractional_positions": [[0.500, 0.500, 0.501], [0.667, 0.667, 0.000], [0.077, 0.077, 0.768], [0.256, 0.256, 0.231]], "vol_a3_per_cell": 115.4, "m_tot_mub_per_fu": 0.0, "sg": "No. 160", "delta_e_f_mev_per_atom": 172, "e_tot_ev_per_atom": -3.1516}